DFT (PBE-GGA) results for an optimized crystal structure of TcPt2.

a b c (Å): 5.6073 3.8680 8.4398
angles (deg): 90.00 90.00 90.00
Positions (direct):
Pt (0.1252, 0.2500, 0.2469)
Pt (0.1263, 0.2500, 0.5839)
Pt (0.3737, 0.7500, 0.0839)
Pt (0.3748, 0.7500, 0.7469)
Pt (0.6252, 0.2500, 0.2531)
Pt (0.6263, 0.2500, 0.9161)
Pt (0.8737, 0.7500, 0.4161)
Pt (0.8748, 0.7500, 0.7531)
Tc (0.1105, 0.2500, 0.9312)
Tc (0.3895, 0.7500, 0.4312)
Tc (0.6105, 0.2500, 0.5688)
Tc (0.8895, 0.7500, 0.0688)

Values from the calculation:
Calculated density = 17.71 g/cm3
Size of the total moment = 0.00 μB per formula unit
Formation energy from the elements = -0.154 eV/atom
Energy = -91.64 eV for the cell shown